No. 1
This record from the Alexandria database describes crystalline Pr9AlIn2 at its relaxed geometry. The functional is PBE-GGA.

a b c (Å): 4.995 4.995 14.981
angles (deg): 90.00 90.00 90.00
Fractional positions:
Pr (0.000, 0.000, 0.000)
Pr (0.000, 0.000, 0.331)
Pr (0.000, 0.000, 0.669)
Pr (0.000, 0.500, 0.162)
Pr (0.000, 0.500, 0.500)
Pr (0.000, 0.500, 0.838)
Pr (0.500, 0.000, 0.162)
Pr (0.500, 0.000, 0.500)
Pr (0.500, 0.000, 0.838)
Al (0.500, 0.500, 0.000)
In (0.500, 0.500, 0.332)
In (0.500, 0.500, 0.668)

Properties
The size of the total moment comes out at 0.00 Bohr magnetons per cell.

No. 2
This record from the Alexandria database describes crystalline PrAlIn2 at its relaxed geometry. The functional is PBE-GGA.

a b c (Å): 4.600 4.600 4.687
angles (deg): 90.00 90.00 90.00
Fractional positions:
Pr (0.000, 0.000, 0.000)
Al (0.500, 0.500, 0.000)
In (0.000, 0.500, 0.500)
In (0.500, 0.000, 0.500)

Properties
The size of the total moment comes out at 0.00 Bohr magnetons per cell.

No. 3
This record from the Alexandria database describes crystalline Pr12AlIn3 at its relaxed geometry. The functional is PBE-GGA.

a b c (Å): 5.004 5.004 20.056
angles (deg): 90.00 90.00 90.00
Fractional positions:
Pr (0.000, 0.000, 0.000)
Pr (0.000, 0.000, 0.247)
Pr (0.000, 0.000, 0.500)
Pr (0.000, 0.000, 0.753)
Pr (0.000, 0.500, 0.121)
Pr (0.000, 0.500, 0.374)
Pr (0.000, 0.500, 0.626)
Pr (0.000, 0.500, 0.879)
Pr (0.500, 0.000, 0.121)
Pr (0.500, 0.000, 0.374)
Pr (0.500, 0.000, 0.626)
Pr (0.500, 0.000, 0.879)
Al (0.500, 0.500, 0.000)
In (0.500, 0.500, 0.248)
In (0.500, 0.500, 0.500)
In (0.500, 0.500, 0.752)

Properties
The size of the total moment comes out at 0.00 Bohr magnetons per cell.

No. 4
This record from the Alexandria database describes crystalline Pr6Al2In at its relaxed geometry. The functional is PBE-GGA.

a b c (Å): 5.957 9.276 11.147
angles (deg): 90.00 115.44 90.00
Fractional positions:
Pr (0.017, 0.159, 0.081)
Pr (0.017, 0.341, 0.581)
Pr (0.379, 0.516, 0.306)
Pr (0.379, 0.984, 0.806)
Pr (0.406, 0.171, 0.438)
Pr (0.406, 0.329, 0.938)
Pr (0.594, 0.671, 0.062)
Pr (0.594, 0.829, 0.562)
Pr (0.621, 0.016, 0.194)
Pr (0.621, 0.484, 0.694)
Pr (0.983, 0.659, 0.419)
Pr (0.983, 0.841, 0.919)
Al (0.178, 0.646, 0.746)
Al (0.178, 0.854, 0.246)
Al (0.822, 0.146, 0.754)
Al (0.822, 0.354, 0.254)
In (0.000, 0.000, 0.500)
In (0.000, 0.500, 0.000)

Properties
The size of the total moment comes out at 0.00 Bohr magnetons per cell.

No. 5
This record from the Alexandria database describes crystalline Pr4AlIn2 at its relaxed geometry. The functional is PBE-GGA.

a b c (Å): 9.338 9.338 9.338
angles (deg): 33.59 33.59 33.59
Fractional positions:
Pr (0.122, 0.122, 0.122)
Pr (0.374, 0.374, 0.374)
Pr (0.626, 0.626, 0.626)
Pr (0.878, 0.878, 0.878)
Al (0.500, 0.500, 0.500)
In (0.250, 0.250, 0.250)
In (0.750, 0.750, 0.750)

Properties
The size of the total moment comes out at 0.00 Bohr magnetons per cell.

No. 6
This record from the Alexandria database describes crystalline Pr12AlIn6 at its relaxed geometry. The functional is PBE-GGA.

a b c (Å): 8.357 8.357 8.357
angles (deg): 89.06 89.06 89.06
Fractional positions:
Pr (0.022, 0.932, 0.312)
Pr (0.068, 0.688, 0.978)
Pr (0.126, 0.435, 0.377)
Pr (0.312, 0.022, 0.932)
Pr (0.377, 0.126, 0.435)
Pr (0.435, 0.377, 0.126)
Pr (0.565, 0.623, 0.874)
Pr (0.623, 0.874, 0.565)
Pr (0.688, 0.978, 0.068)
Pr (0.874, 0.565, 0.623)
Pr (0.932, 0.312, 0.022)
Pr (0.978, 0.068, 0.688)
Al (0.500, 0.500, 0.500)
In (0.241, 0.383, 0.753)
In (0.247, 0.759, 0.617)
In (0.383, 0.753, 0.241)
In (0.617, 0.247, 0.759)
In (0.753, 0.241, 0.383)
In (0.759, 0.617, 0.247)

Properties
The size of the total moment comes out at 0.00 Bohr magnetons per cell.

No. 7
This record from the Alexandria database describes crystalline Pr12Al2In5 at its relaxed geometry. The functional is PBE-GGA.

a b c (Å): 9.163 9.163 8.782
angles (deg): 97.93 97.93 56.00
Fractional positions:
Pr (0.040, 0.040, 0.201)
Pr (0.091, 0.627, 0.087)
Pr (0.146, 0.527, 0.642)
Pr (0.373, 0.909, 0.913)
Pr (0.452, 0.452, 0.336)
Pr (0.473, 0.854, 0.358)
Pr (0.527, 0.146, 0.642)
Pr (0.548, 0.548, 0.664)
Pr (0.627, 0.091, 0.087)
Pr (0.854, 0.473, 0.358)
Pr (0.909, 0.373, 0.913)
Pr (0.960, 0.960, 0.799)
Al (0.179, 0.821, 0.500)
Al (0.821, 0.179, 0.500)
In (0.147, 0.147, 0.602)
In (0.244, 0.244, 0.220)
In (0.500, 0.500, 0.000)
In (0.756, 0.756, 0.780)
In (0.853, 0.853, 0.398)

Properties
The size of the total moment comes out at 0.00 Bohr magnetons per cell.

No. 8
This record from the Alexandria database describes crystalline Pr8Al2In at its relaxed geometry. The functional is PBE-GGA.

a b c (Å): 9.185 9.185 8.193
angles (deg): 109.74 109.74 31.99
Fractional positions:
Pr (0.050, 0.050, 0.237)
Pr (0.163, 0.163, 0.741)
Pr (0.323, 0.323, 0.560)
Pr (0.397, 0.397, 0.046)
Pr (0.603, 0.603, 0.954)
Pr (0.677, 0.677, 0.440)
Pr (0.837, 0.837, 0.259)
Pr (0.950, 0.950, 0.763)
Al (0.216, 0.216, 0.162)
Al (0.784, 0.784, 0.838)
In (0.500, 0.500, 0.500)

Properties
The size of the total moment comes out at 0.00 Bohr magnetons per cell.

For reference, calculated formation energy by record: -0.24 -0.40 -0.25 -0.15 -0.28 -0.26 -0.18 -0.20 eV per atom.
For reference, N(E_F) by record: 19.68 1.52 23.74 21.34 8.03 18.21 19.97 13.40 states/eV per cell.